# 1
This record from the Alexandria database describes a relaxed structure of YFe2Pt. The functional is PBE.

a = 3.975 Å, b = 3.975 Å, c = 9.887 Å
α = 78.40°, β = 78.40°, γ = 90.00°
Site moments in Bohr magnetons follow the coordinates.
Atoms (fractional coordinates):
Fe 0.875 0.968 0.750  2.58
Fe 0.718 0.125 0.250  2.59
Fe 0.375 0.282 0.750  2.60
Fe 0.032 0.625 0.250  2.56
Y 0.500 0.500 0.000  -0.09
Y 0.250 0.750 0.500  -0.09
Pt 0.750 0.250 0.500  0.12
Pt 0.000 0.000 0.000  0.11

The energy of formation from the pure elements is 0.036 eV/atom. The calculation puts the magnetic moment at 5.20 μB per formula unit.

# 2
This record from the Alexandria database describes a relaxed structure of Dy6Te3CSe2. The functional is PBE.

a = 7.099 Å, b = 7.099 Å, c = 7.326 Å
α = 99.25°, β = 99.25°, γ = 119.83°
Atoms (fractional coordinates):
Se 0.335 0.665 0.000
Se 0.665 0.335 0.000
Dy 0.225 0.225 0.790
Dy 0.636 0.933 0.799
Dy 0.933 0.636 0.799
Dy 0.364 0.067 0.201
Dy 0.775 0.775 0.210
Dy 0.067 0.364 0.201
Te 0.500 0.500 0.500
Te 0.823 0.177 0.500
Te 0.177 0.823 0.500
C 0.000 0.000 0.000

For the total energy, the calculation gives -5.80 eV/atom. The calculation puts the magnetic moment at 0.00 μB per formula unit.

# 3
This record from the Alexandria database describes a relaxed structure of LiCoIr2. The functional is PBE.

a = 2.645 Å, b = 2.645 Å, c = 8.781 Å
α = 90.00°, β = 90.00°, γ = 117.02°
Site moments in Bohr magnetons follow the coordinates.
Atoms (fractional coordinates):
Li 0.500 0.500 0.250  -0.01
Ir 0.000 0.000 0.505  0.55
Ir 0.000 0.000 0.995  0.55
Co 0.500 0.500 0.750  1.99

The energy of formation from the pure elements is 0.059 eV/atom. The calculation puts the magnetic moment at 3.07 μB per formula unit. The calculation puts the relative energy among the computed polymorphs at 0.0923 eV/atom.

# 4
This record from the Alexandria database describes a relaxed structure of LiTePd2. The functional is PBE.

a = 3.733 Å, b = 4.249 Å, c = 4.249 Å
α = 90.00°, β = 90.00°, γ = 90.00°
Atoms (fractional coordinates):
Pd 0.000 0.500 0.000
Pd 0.000 0.000 0.500
Li 0.500 0.500 0.500
Te 0.500 0.000 0.000

For the total energy, the calculation gives -4.35 eV/atom. The calculation puts the magnetic moment at 0.00 μB per formula unit.

# 5
This record from the Alexandria database describes a relaxed structure of Ta2ReMo. The functional is PBE.

a = 9.263 Å, b = 9.263 Å, c = 9.263 Å
α = 18.30°, β = 18.30°, γ = 18.30°
Atoms (fractional coordinates):
Ta 0.003 0.003 0.003
Ta 0.248 0.248 0.248
Re 0.753 0.753 0.753
Mo 0.496 0.496 0.496

The energy of formation from the pure elements is 0.183 eV/atom. The calculation puts the magnetic moment at 0.00 μB per formula unit. The calculation puts the relative energy among the computed polymorphs at 0.5305 eV/atom.

# 6
This record from the Alexandria database describes a relaxed structure of BaVSnSe2. The functional is PBE.

a = 5.988 Å, b = 5.522 Å, c = 5.988 Å
α = 90.00°, β = 90.00°, γ = 90.00°
Site moments in Bohr magnetons follow the coordinates.
Atoms (fractional coordinates):
Se 0.000 0.000 0.500  -0.04
Se 0.500 0.000 0.000  -0.01
Ba 0.000 0.000 0.000  0.18
V 0.000 0.500 0.000  3.30
Sn 0.500 0.500 0.500  0.05

For the total energy, the calculation gives -3.53 eV/atom. The calculation puts the magnetic moment at 4.48 μB per formula unit.